This record from the Alexandria database describes a relaxed structure of SrCrIn2Hg. The functional is PBEsol.

Results
* formation energy from the elements: 0.682 eV/atom
* symmetry: No. 123

The structure in extended XYZ format:
```
5
Lattice="5.347 0.000 0.000 0.000 5.347 0.000 0.000 0.000 5.913" Properties=species:S:1:pos:R:3 pbc="T T T"
Sr 0.000 0.000 2.957
Hg 0.000 0.000 0.000
In 0.000 2.673 0.000
Cr 2.673 2.673 2.957
In 2.673 0.000 0.000
```



This record from the Alexandria database describes a relaxed structure of TlCrBr. The functional is PBEsol.

Results
* energy above the lowest structure with this stoichiometry: 0 meV per atom
* energy relative to the elements, uncorrected: 0.242 eV per atom
* symmetry: No. 107

The structure in extended XYZ format:
```
3
Lattice="-2.081 -1.320 -2.392 2.573 0.064 -2.273 1.363 -4.928 3.998" Properties=species:S:1:pos:R:3 pbc="T T T"
Tl 0.990 -3.418 1.025
Br 0.123 -0.426 0.128
Cr 0.742 -2.339 -1.820
```